No. 1
## YNbO2F (PBEsol)

Data for YNbO2F after structural relaxation.

Cell and atoms, written as extended XYZ:
```
5
Lattice="4.342 0.000 0.000 0.000 4.342 0.000 0.000 0.000 4.120" Properties=species:S:1:pos:R:3 pbc="T T T"
Y 0.000 0.000 0.000
Nb 2.171 2.171 2.060
O 0.000 2.171 0.000
O 2.171 0.000 0.000
F 0.000 0.000 2.060
```

Calculated values
E_form (uncorrected) (eV/f.u.): -8.197
E_tot (eV/atom): -7.653

***

No. 2
## NbZnOF2 (PBEsol)

Data for NbZnOF2 after structural relaxation.

Cell and atoms, written as extended XYZ:
```
5
Lattice="4.244 0.000 0.000 0.000 4.244 0.000 0.000 0.000 3.921" Properties=species:S:1:pos:R:3 pbc="T T T"
Nb 0.000 0.000 0.000
Zn 2.122 2.122 1.961
O 0.000 0.000 1.961
F 0.000 2.122 0.000
F 2.122 0.000 0.000
```

Calculated values
E_form (uncorrected) (eV/f.u.): -8.543
E_tot (eV/atom): -6.010

***

No. 3
## NbPF2 (PBEsol)

Data for NbPF2 after structural relaxation.

Cell and atoms, written as extended XYZ:
```
4
Lattice="0.000 2.873 2.873 2.873 0.000 2.873 2.873 2.873 0.000" Properties=species:S:1:pos:R:3 pbc="T T T"
Nb 0.000 0.000 0.000
P 2.873 2.873 2.873
F 1.436 1.436 1.436
F 4.309 4.309 4.309
```

Calculated values
Energy relative to the lowest polymorph listed for this composition (meV/atom): 490.8
E_form (uncorrected) (eV/f.u.): -3.143
E_tot (eV/atom): -5.903

***

No. 4
## NbPF3 (PBEsol)

Data for NbPF3 after structural relaxation.

Cell and atoms, written as extended XYZ:
```
5
Lattice="4.220 0.000 0.000 0.000 4.220 0.000 0.000 0.000 4.220" Properties=species:S:1:pos:R:3 pbc="T T T"
Nb 0.000 0.000 0.000
P 2.110 2.110 2.110
F 0.000 0.000 2.110
F 0.000 2.110 0.000
F 2.110 0.000 0.000
```

Calculated values
E_form (uncorrected) (eV/f.u.): -5.923
E_tot (eV/atom): -5.664

***

No. 5
## NbPF2 (PBEsol)

Data for NbPF2 after structural relaxation.

Cell and atoms, written as extended XYZ:
```
8
Lattice="-1.807 1.807 7.780 1.807 -1.807 7.780 1.807 1.807 -7.780" Properties=species:S:1:pos:R:3 pbc="T T T"
Nb 0.000 0.000 0.000
Nb 0.000 1.807 3.890
P 1.807 0.000 3.890
P 0.000 0.000 7.780
F 2.710 0.711 -1.945
F 0.711 0.903 1.945
F -0.903 1.095 5.835
F 1.095 0.903 9.724
```

Calculated values
Energy relative to the lowest polymorph listed for this composition (meV/atom): 0.0
E_form (uncorrected) (eV/f.u.): -5.106
E_tot (eV/atom): -6.394

***

No. 6
## NbPd2F (PBEsol)

Data for NbPd2F after structural relaxation.

Cell and atoms, written as extended XYZ:
```
4
Lattice="0.000 3.080 3.080 3.080 0.000 3.080 3.080 3.080 0.000" Properties=species:S:1:pos:R:3 pbc="T T T"
Nb 0.000 0.000 0.000
Pd 1.540 1.540 1.540
Pd 4.619 4.619 4.619
F 3.080 3.080 3.080
```

Calculated values
E_form (uncorrected) (eV/f.u.): -0.701
E_tot (eV/atom): -6.342

***

No. 7
## NbPd3F (PBEsol)

Data for NbPd3F after structural relaxation.

Cell and atoms, written as extended XYZ:
```
5
Lattice="4.758 0.000 0.000 0.000 4.758 0.000 0.000 0.000 4.758" Properties=species:S:1:pos:R:3 pbc="T T T"
Nb 0.000 0.000 0.000
Pd 0.000 0.000 2.379
Pd 0.000 2.379 0.000
Pd 2.379 0.000 0.000
F 2.379 2.379 2.379
```

Calculated values
E_form (uncorrected) (eV/f.u.): 4.790
E_tot (eV/atom): -5.167

***

No. 8
## NbPt3F (PBEsol)

Data for NbPt3F after structural relaxation.

Cell and atoms, written as extended XYZ:
```
5
Lattice="4.280 0.000 0.000 0.000 4.280 0.000 0.000 0.000 4.280" Properties=species:S:1:pos:R:3 pbc="T T T"
Nb 0.000 0.000 0.000
Pt 0.000 2.140 2.140
Pt 2.140 0.000 2.140
Pt 2.140 2.140 0.000
F 2.140 2.140 2.140
```

Calculated values
E_form (uncorrected) (eV/f.u.): 3.071
E_tot (eV/atom): -6.114

***

No. 9
## RbNbF2 (PBEsol)

Data for RbNbF2 after structural relaxation.

Cell and atoms, written as extended XYZ:
```
8
Lattice="-2.994 2.994 4.831 2.994 -2.994 4.831 2.994 2.994 -4.831" Properties=species:S:1:pos:R:3 pbc="T T T"
Rb 0.000 0.000 0.000
Rb 0.000 2.994 2.415
Nb 2.994 0.000 2.415
Nb 0.000 0.000 4.831
F 1.497 1.845 -1.208
F 4.144 1.497 1.208
F 1.497 1.149 3.623
F -1.149 1.497 6.039
```

Calculated values
E_form (uncorrected) (eV/f.u.): -4.745
E_tot (eV/atom): -5.112

***

No. 10
## Nb2ReF (PBEsol)

Data for Nb2ReF after structural relaxation.

Cell and atoms, written as extended XYZ:
```
4
Lattice="0.000 3.120 3.120 3.120 0.000 3.120 3.120 3.120 0.000" Properties=species:S:1:pos:R:3 pbc="T T T"
Nb 1.560 1.560 1.560
Nb 4.680 4.680 4.680
Re 0.000 0.000 0.000
F 3.120 3.120 3.120
```

Calculated values
E_form (uncorrected) (eV/f.u.): -0.224
E_tot (eV/atom): -9.282

***

No. 11
## Nb3RhF (PBEsol)

Data for Nb3RhF after structural relaxation.

Cell and atoms, written as extended XYZ:
```
5
Lattice="4.788 0.000 0.000 0.000 4.788 0.000 0.000 0.000 4.788" Properties=species:S:1:pos:R:3 pbc="T T T"
Nb 0.000 0.000 2.394
Nb 0.000 2.394 0.000
Nb 2.394 0.000 0.000
Rh 0.000 0.000 0.000
F 2.394 2.394 2.394
```

Calculated values
E_form (uncorrected) (eV/f.u.): 5.532
E_tot (eV/atom): -7.400

***

No. 12
## NbRuF2 (PBEsol)

Data for NbRuF2 after structural relaxation.

Cell and atoms, written as extended XYZ:
```
4
Lattice="1.356 0.783 9.772 -1.356 0.783 9.772 0.000 -1.566 9.772" Properties=species:S:1:pos:R:3 pbc="T T T"
Nb 0.000 0.000 0.000
Ru 0.000 0.000 14.658
F 0.000 0.000 11.293
F 0.000 0.000 18.022
```

Calculated values
E_form (uncorrected) (eV/f.u.): -3.628
E_tot (eV/atom): -7.119

***

No. 13
## NbSbF10 (PBEsol)

Data for NbSbF10 after structural relaxation.

Cell and atoms, written as extended XYZ:
```
24
Lattice="5.701 0.000 0.000 1.238 7.103 0.000 2.514 -0.188 9.400" Properties=species:S:1:pos:R:3 pbc="T T T"
Nb 1.920 2.593 2.086
Nb 7.533 4.322 7.314
Sb 4.678 1.566 6.530
Sb 4.776 5.349 2.870
F 0.742 1.398 1.339
F 1.836 2.195 3.899
F 1.793 4.007 0.873
F 3.083 0.589 6.643
F 3.613 3.244 6.613
F 3.594 6.808 2.939
F 3.237 4.107 2.991
F 4.849 1.717 8.402
F 4.870 5.200 4.741
F 3.519 1.844 1.554
F 5.934 5.071 7.846
F 4.583 1.715 4.659
F 4.604 5.197 0.998
F 6.216 2.808 6.409
F 5.859 0.107 6.461
F 5.841 3.671 2.788
F 6.370 6.326 2.757
F 7.660 2.907 8.527
F 7.617 4.720 5.501
F 8.711 5.517 8.061
```

Calculated values
E_form (uncorrected) (eV/f.u.): -31.464
E_tot (eV/atom): -5.510

***

No. 14
## ScNbF3 (PBEsol)

Data for ScNbF3 after structural relaxation.

Cell and atoms, written as extended XYZ:
```
5
Lattice="4.313 0.000 0.000 0.000 4.313 0.000 0.000 0.000 4.313" Properties=species:S:1:pos:R:3 pbc="T T T"
Sc 0.000 0.000 0.000
Nb 2.156 2.156 2.156
F 0.000 2.156 2.156
F 2.156 0.000 2.156
F 2.156 2.156 0.000
```

Calculated values
E_form (uncorrected) (eV/f.u.): -7.200
E_tot (eV/atom): -6.082

***

No. 15
## ScNbF2 (PBEsol)

Data for ScNbF2 after structural relaxation.

Cell and atoms, written as extended XYZ:
```
4
Lattice="1.472 0.850 7.566 -1.472 0.850 7.566 0.000 -1.700 7.566" Properties=species:S:1:pos:R:3 pbc="T T T"
Sc 0.000 0.000 0.000
Nb 0.000 0.000 11.350
F 0.000 0.000 2.152
F 0.000 0.000 20.547
```

Calculated values
E_form (uncorrected) (eV/f.u.): -5.507
E_tot (eV/atom): -6.697

***

No. 16
## NbSeF3 (PBEsol)

Data for NbSeF3 after structural relaxation.

Cell and atoms, written as extended XYZ:
```
5
Lattice="4.183 0.000 0.000 0.000 4.183 0.000 0.000 0.000 4.183" Properties=species:S:1:pos:R:3 pbc="T T T"
Nb 0.000 0.000 0.000
Se 2.091 2.091 2.091
F 0.000 0.000 2.091
F 0.000 2.091 0.000
F 2.091 0.000 0.000
```

Calculated values
E_form (uncorrected) (eV/f.u.): -7.598
E_tot (eV/atom): -5.610

***

No. 17
## NbSeF9 (PBEsol)

Data for NbSeF9 after structural relaxation.

Cell and atoms, written as extended XYZ:
```
44
Lattice="6.476 3.739 4.867 -6.476 3.739 4.867 0.000 -7.478 4.867" Properties=species:S:1:pos:R:3 pbc="T T T"
Nb 0.000 0.000 0.000
Nb -3.601 0.426 9.376
Nb 1.432 -3.331 9.376
Nb 2.169 2.906 9.376
Se -3.170 -4.119 7.015
Se 0.000 0.000 7.095
Se -1.982 4.805 7.015
Se 5.152 -0.686 7.015
F -4.933 -3.919 8.495
F -0.489 -3.294 3.146
F -5.840 2.276 5.852
F -1.815 -4.241 5.955
F -2.608 2.071 3.146
F -3.436 0.347 5.672
F -4.419 -0.846 8.261
F 0.949 -6.196 5.852
F -2.389 -2.924 7.989
F -0.849 -1.164 6.143
F -4.066 1.912 8.337
F 1.418 -3.149 5.672
F -2.765 3.692 5.955
F 0.378 -4.477 8.337
F -1.920 0.226 8.318
F -0.584 1.318 6.143
F -2.850 -1.032 10.490
F 3.097 1.223 3.146
F 1.433 -0.153 6.143
F 0.765 -1.776 8.318
F -0.148 -2.988 10.529
F -2.514 1.622 10.529
F -1.338 3.530 7.989
F 2.942 -3.404 8.261
F 2.018 2.802 5.672
F 1.156 1.550 8.318
F 4.580 0.549 5.955
F -0.928 6.232 8.495
F 3.726 -0.607 7.989
F 2.318 -1.952 10.490
F 1.476 4.250 8.261
F 0.531 2.984 10.490
F 5.861 -2.312 8.495
F 4.892 3.920 5.852
F 3.689 2.566 8.337
F 2.662 1.366 10.529
```

Calculated values
E_form (uncorrected) (eV/f.u.): -26.913
E_tot (eV/atom): -5.357

***

No. 18
## NbSi3F (PBEsol)

Data for NbSi3F after structural relaxation.

Cell and atoms, written as extended XYZ:
```
5
Lattice="4.779 0.000 0.000 0.000 4.779 0.000 0.000 0.000 4.779" Properties=species:S:1:pos:R:3 pbc="T T T"
Nb 0.000 0.000 0.000
Si 0.000 0.000 2.390
Si 0.000 2.390 0.000
Si 2.390 0.000 0.000
F 2.390 2.390 2.390
```

Calculated values
E_form (uncorrected) (eV/f.u.): 2.231
E_tot (eV/atom): -5.552

***

No. 19
## NbSn3F (PBEsol)

Data for NbSn3F after structural relaxation.

Cell and atoms, written as extended XYZ:
```
5
Lattice="5.256 0.000 0.000 0.000 5.256 0.000 0.000 0.000 5.256" Properties=species:S:1:pos:R:3 pbc="T T T"
Nb 0.000 0.000 0.000
Sn 0.000 0.000 2.628
Sn 0.000 2.628 0.000
Sn 2.628 0.000 0.000
F 2.628 2.628 2.628
```

Calculated values
E_form (uncorrected) (eV/f.u.): 0.215
E_tot (eV/atom): -5.062

***

No. 20
## TaNb3F (PBEsol)

Data for TaNb3F after structural relaxation.

Cell and atoms, written as extended XYZ:
```
5
Lattice="4.894 0.000 0.000 0.000 4.894 0.000 0.000 0.000 4.894" Properties=species:S:1:pos:R:3 pbc="T T T"
Ta 0.000 0.000 0.000
Nb 0.000 0.000 2.447
Nb 0.000 2.447 0.000
Nb 2.447 0.000 0.000
F 2.447 2.447 2.447
```

Calculated values
E_form (uncorrected) (eV/f.u.): 8.241
E_tot (eV/atom): -7.740